Entry 1:
Compound: NpPH
Source: Alexandria
Functional: PBE-GGA
Structure: optimized geometry

Summary:
- total magnetic moment (μB per formula unit) = 3.0
- E (eV/cell) = -88.48
- D(E_F) (states/eV per cell) = 43.19
- energy above the lowest structure with this stoichiometry (eV per atom) = 0.4570

a = 6.0461 Å, b = 6.0461 Å, c = 6.0461 Å
α = 90.00°, β = 90.00°, γ = 90.00°
Closest atoms and distances in Å follow each position.
Space group F-43m (No. 216)
Unique sites:
Np 0.0000 0.0000 0.0000  4 H 2.62, 4 P 2.62
P 0.2500 0.2500 0.2500  4 Np 2.62
H 0.2500 0.2500 0.7500  4 Np 2.62


Entry 2:
Compound: Rb2ScSO6
Source: Alexandria
Functional: PBE-GGA
Structure: optimized geometry

Summary:
- total magnetic moment (μB per formula unit) = 1.0
- E (eV/cell) = -58.66
- D(E_F) (states/eV per cell) = 1.26

a = 6.3139 Å, b = 6.3139 Å, c = 5.2339 Å
α = 90.00°, β = 90.00°, γ = 120.00°
Closest atoms and distances in Å follow each position.
Space group P-3m1 (No. 164)
Unique sites:
Rb 0.3333 0.6667 0.3477  9 O 2.90-3.20
Sc 0.0000 0.0000 0.0000  6 O 2.12
S 0.0000 0.0000 0.5000  6 O 1.69
O 0.1249 0.2498 0.6908  1 S 1.69